[1]
Density functional theory data (PBE) for a relaxed CdCoNi2B crystal.

```
CdCoNi2B
1.0
3.9110 0.0000 0.0000
0.0000 3.9110 0.0000
0.0000 0.0000 3.8698
Cd Co Ni B
1 1 2 1
Direct
0.0000 0.0000 0.0000 Cd
0.5000 0.5000 0.0000 Co
0.0000 0.5000 0.5000 Ni
0.5000 0.0000 0.5000 Ni
0.5000 0.5000 0.5000 B
```

Properties
Density of states at the Fermi level = 3.2 states/eV per cell
Energy relative to the elements = -0.06 eV/atom
E = -26.6 eV/cell
SG = P4/mmm, No. 123

[2]
Density functional theory data (PBE) for a relaxed DyNiHgAu crystal.

```
DyNiHgAu
1.0
0.0000 3.3906 3.3906
3.3906 0.0000 3.3906
3.3906 3.3906 0.0000
Dy Ni Hg Au
1 1 1 1
Direct
0.0000 0.0000 0.0000 Dy
0.2500 0.2500 0.2500 Ni
0.5000 0.5000 0.5000 Hg
0.7500 0.7500 0.7500 Au
```

Properties
Density of states at the Fermi level = 2.5 states/eV per cell
Energy relative to the elements = -0.35 eV/atom
E = -15.4 eV/cell
SG = F-43m, No. 216